[1]
! PBE CaBiPt4, relaxed; values from VASP
&SYSTEM
  ibrav = 0, nat = 6, ntyp = 3
/
ATOMIC_SPECIES
Ca 40.08 Ca.upf
Bi 208.98 Bi.upf
Pt 195.08 Pt.upf
CELL_PARAMETERS angstrom
0.000 3.865 3.865
3.865 0.000 3.865
3.865 3.865 0.000
ATOMIC_POSITIONS angstrom
Ca 0.000 0.000 0.000
Bi 1.933 1.933 1.933
Pt 4.833 2.898 2.898
Pt 2.898 4.833 2.898
Pt 2.898 2.898 4.833
Pt 4.833 4.833 4.833
! Symmetry: No. 216
! ΔE_f: -551 meV per atom

=====

[2]
! PBE HfBe2Cd, relaxed; values from VASP
&SYSTEM
  ibrav = 0, nat = 4, ntyp = 3
/
ATOMIC_SPECIES
Hf 178.49 Hf.upf
Be 9.01 Be.upf
Cd 112.41 Cd.upf
CELL_PARAMETERS angstrom
0.000 3.081 3.081
3.081 0.000 3.081
3.081 3.081 0.000
ATOMIC_POSITIONS angstrom
Hf 0.000 0.000 0.000
Be 1.541 1.541 1.541
Be 4.622 4.622 4.622
Cd 3.081 3.081 3.081
! Symmetry: No. 225
! ΔE_f: 180 meV per atom
! E above lowest polymorph: 0.00 eV per formula unit

=====

[3]
! PBE CaMg2Zr, relaxed; values from VASP
&SYSTEM
  ibrav = 0, nat = 4, ntyp = 3
/
ATOMIC_SPECIES
Ca 40.08 Ca.upf
Mg 24.30 Mg.upf
Zr 91.22 Zr.upf
CELL_PARAMETERS angstrom
1.648 0.952 11.125
-1.648 0.952 11.125
0.000 -1.903 11.125
ATOMIC_POSITIONS angstrom
Ca 0.000 0.000 0.000
Mg 0.000 0.000 8.173
Mg 0.000 0.000 25.201
Zr 0.000 0.000 16.687
! Symmetry: No. 166
! ΔE_f: 156 meV per atom

=====

[4]
! PBE Ca4AlTl, relaxed; values from VASP
&SYSTEM
  ibrav = 0, nat = 6, ntyp = 3
/
ATOMIC_SPECIES
Ca 40.08 Ca.upf
Al 26.98 Al.upf
Tl 204.38 Tl.upf
CELL_PARAMETERS angstrom
0.000 4.721 4.721
4.721 0.000 4.721
4.721 4.721 0.000
ATOMIC_POSITIONS angstrom
Ca 1.183 1.183 1.183
Ca 3.538 3.538 1.183
Ca 3.538 1.183 3.538
Ca 1.183 3.538 3.538
Al 4.721 4.721 4.721
Tl 7.081 7.081 7.081
! Symmetry: No. 216
! ΔE_f: 336 meV per atom
! E above lowest polymorph: 3.42 eV per formula unit

=====

[5]
! PBE BeNi2Se, relaxed; values from VASP
&SYSTEM
  ibrav = 0, nat = 4, ntyp = 3
/
ATOMIC_SPECIES
Be 9.01 Be.upf
Ni 58.69 Ni.upf
Se 78.96 Se.upf
CELL_PARAMETERS angstrom
0.000 2.852 2.852
2.852 0.000 2.852
2.852 2.852 0.000
ATOMIC_POSITIONS angstrom
Be 0.000 0.000 0.000
Ni 1.426 1.426 1.426
Ni 4.278 4.278 4.278
Se 2.852 2.852 2.852
! Symmetry: No. 225
! Formation energy from raw total energies: 72 meV per atom
! E above lowest polymorph: 0.48 eV per formula unit

=====

[6]
! PBE ZrInAg, relaxed; values from VASP
&SYSTEM
  ibrav = 0, nat = 6, ntyp = 3
/
ATOMIC_SPECIES
Zr 91.22 Zr.upf
In 114.82 In.upf
Ag 107.87 Ag.upf
CELL_PARAMETERS angstrom
5.319 0.000 0.000
0.000 3.082 0.000
-0.992 0.000 7.711
ATOMIC_POSITIONS angstrom
Zr 0.879 0.000 2.729
Zr 3.448 0.000 4.982
In 0.780 1.541 5.414
In 3.548 1.541 2.298
Ag 0.000 1.541 0.000
Ag 2.660 0.000 0.000
! Symmetry: No. 10
! ΔE_f: -102 meV per atom

=====

[7]
! PBE NaCuW2, relaxed; values from VASP
&SYSTEM
  ibrav = 0, nat = 4, ntyp = 3
/
ATOMIC_SPECIES
Na 22.99 Na.upf
Cu 63.55 Cu.upf
W 183.84 W.upf
CELL_PARAMETERS angstrom
0.000 3.127 3.127
3.127 0.000 3.127
3.127 3.127 0.000
ATOMIC_POSITIONS angstrom
Na 0.000 0.000 0.000
Cu 3.127 3.127 3.127
W 1.563 1.563 1.563
W 4.690 4.690 4.690
! Symmetry: No. 225
! ΔE_f: 1437 meV per atom
! E above lowest polymorph: 0.92 eV per formula unit

=====

[8]
! PBE Ca2Pm4Y5, relaxed; values from VASP
&SYSTEM
  ibrav = 0, nat = 11, ntyp = 3
/
ATOMIC_SPECIES
Ca 40.08 Ca.upf
Pm 145.00 Pm.upf
Y 88.91 Y.upf
CELL_PARAMETERS angstrom
9.156 0.000 0.000
0.000 3.530 0.000
-0.109 0.000 11.753
ATOMIC_POSITIONS angstrom
Ca 0.431 0.000 1.617
Ca 8.616 0.000 10.136
Pm 1.899 1.765 7.861
Pm 3.581 1.765 2.663
Pm 5.467 1.765 9.090
Pm 7.148 1.765 3.892
Y 1.233 0.000 4.854
Y 3.000 0.000 10.965
Y 4.524 0.000 5.876
Y 6.047 0.000 0.788
Y 7.814 0.000 6.899
! Symmetry: No. 10
! ΔE_f: 104 meV per atom

=====

[9]
! PBE InAuS2, relaxed; values from VASP
&SYSTEM
  ibrav = 0, nat = 16, ntyp = 3
/
ATOMIC_SPECIES
In 114.82 In.upf
Au 196.97 Au.upf
S 32.06 S.upf
CELL_PARAMETERS angstrom
5.772 0.000 0.000
0.000 8.588 0.000
-2.289 0.000 8.431
ATOMIC_POSITIONS angstrom
In 0.447 0.073 2.132
In -0.698 4.221 6.347
In 4.180 4.367 2.084
In 3.035 8.515 6.299
Au 1.317 4.496 2.094
Au 0.172 8.386 6.310
Au 3.310 0.202 2.121
Au 2.166 4.092 6.337
S 0.316 1.535 4.699
S 1.461 2.759 0.483
S 1.224 6.278 3.651
S 0.080 6.604 7.867
S 3.402 1.984 0.564
S 2.258 2.310 4.780
S 2.022 5.829 7.948
S 3.166 7.053 3.732
! Symmetry: No. 14
! Formation energy from raw total energies: -131 meV per atom

=====

[10]
! PBE NpSi3Rh3, relaxed; values from VASP
&SYSTEM
  ibrav = 0, nat = 14, ntyp = 3
/
ATOMIC_SPECIES
Np 237.00 Np.upf
Si 28.09 Si.upf
Rh 102.91 Rh.upf
CELL_PARAMETERS angstrom
6.495 0.000 0.000
0.000 6.495 0.000
0.000 0.000 6.495
ATOMIC_POSITIONS angstrom
Np 0.000 0.000 0.000
Np 3.248 3.248 3.248
Si 0.000 1.624 3.248
Si 0.000 4.871 3.248
Si 1.624 3.248 0.000
Si 3.248 0.000 1.624
Si 3.248 0.000 4.871
Si 4.871 3.248 0.000
Rh 0.000 3.248 1.624
Rh 0.000 3.248 4.871
Rh 1.624 0.000 3.248
Rh 3.248 1.624 0.000
Rh 3.248 4.871 0.000
Rh 4.871 0.000 3.248
! Symmetry: No. 223
! Formation energy from raw total energies: -253 meV per atom
! E above lowest polymorph: 1.62 eV per formula unit

=====

[11]
! PBE Ge2RhCl, relaxed; values from VASP
&SYSTEM
  ibrav = 0, nat = 8, ntyp = 3
/
ATOMIC_SPECIES
Ge 72.64 Ge.upf
Rh 102.91 Rh.upf
Cl 35.45 Cl.upf
CELL_PARAMETERS angstrom
-3.036 3.036 5.572
3.036 -3.036 5.572
3.036 3.036 -5.572
ATOMIC_POSITIONS angstrom
Ge 4.554 1.116 -1.393
Ge 1.116 1.518 1.393
Ge -1.518 1.921 4.179
Ge 1.921 1.518 6.965
Rh 0.000 0.000 0.000
Rh 0.000 3.036 2.786
Cl 3.036 0.000 2.786
Cl 0.000 0.000 5.572
! Symmetry: No. 122
! Formation energy from raw total energies: -59 meV per atom
! E above lowest polymorph: 0.00 eV per formula unit

=====

[12]
! PBE RbPrAuO2, relaxed; values from VASP
&SYSTEM
  ibrav = 0, nat = 10, ntyp = 4
/
ATOMIC_SPECIES
Rb 85.47 Rb.upf
Pr 140.91 Pr.upf
Au 196.97 Au.upf
O 16.00 O.upf
CELL_PARAMETERS angstrom
6.647 0.000 0.000
0.000 5.501 0.000
-0.274 0.000 7.066
ATOMIC_POSITIONS angstrom
Rb -0.068 0.733 1.767
Rb -0.205 4.768 5.300
Pr 3.118 2.688 5.300
Pr 3.255 2.813 1.767
Au 3.323 0.000 0.000
Au 3.187 0.000 3.533
O 1.888 1.924 3.448
O 1.751 3.577 6.981
O 4.622 1.924 0.085
O 4.485 3.577 3.619
! Symmetry: No. 13
! Formation energy from raw total energies: -1536 meV per atom

=====

Number 1: total moment 0.0 μB/cell. Number 2: total moment 0.0 μB/cell. Number 3: total moment 0.0 μB/cell. Number 4: total moment 0.0 μB/cell. Number 5: total moment 0.0 μB/cell. Number 6: total moment 0.0 μB/cell. Number 7: total moment 0.0 μB/cell. Number 8: total moment 0.0 μB/cell. Number 9: total moment 0.0 μB/cell. Number 10: total moment 9.5 μB/cell. Number 11: total moment 0.0 μB/cell. Number 12: total moment 0.0 μB/cell.